{"formula": "Nd5Y5Sb6", "functional": "PBE", "state": "optimized geometry", "lattice_angstrom": [[-0.225, -5.253, -3.671], [6.176, 3.739, -5.730], [2.771, -5.115, 7.149]], "species": ["Nd", "Nd", "Nd", "Nd", "Nd", "Y", "Y", "Y", "Y", "Y", "Sb", "Sb", "Sb", "Sb", "Sb", "Sb"], "frac_coords": [[0.750, 0.334, 0.665], [0.750, 0.665, 0.334], [0.250, 0.665, 0.334], [0.250, 0.334, 0.665], [0.000, 0.245, 0.245], [0.000, 0.751, 0.001], [0.000, 0.001, 0.751], [0.500, 0.756, 0.756], [0.500, 0.250, 0.999], [0.500, 0.999, 0.250], [0.000, 0.621, 0.621], [0.000, 0.384, 0.996], [0.000, 0.996, 0.384], [0.500, 0.381, 0.381], [0.500, 0.618, 0.000], [0.500, 0.000, 0.618]], "e_form_raw_kj_per_mol_atoms": -92.1}

{"formula": "Nd5YSb6", "functional": "PBE", "state": "optimized geometry", "lattice_angstrom": [[-5.936, -1.816, -4.728], [-4.629, -5.206, 3.512], [-5.964, 2.430, 4.405]], "species": ["Nd", "Nd", "Nd", "Nd", "Nd", "Y", "Sb", "Sb", "Sb", "Sb", "Sb", "Sb"], "frac_coords": [[0.500, 0.168, 0.663], [0.000, 0.334, 0.332], [0.500, 0.500, 0.000], [0.000, 0.666, 0.668], [0.500, 0.832, 0.337], [0.000, 0.000, 0.000], [0.753, 0.082, 0.329], [0.247, 0.589, 0.329], [0.248, 0.246, 0.000], [0.752, 0.754, 0.000], [0.753, 0.411, 0.671], [0.247, 0.918, 0.671]], "e_form_raw_kj_per_mol_atoms": -114.1}

{"formula": "Nd2YSb", "functional": "PBE", "state": "optimized geometry", "lattice_angstrom": [[-1.946, -3.042, 2.273], [1.585, -2.971, -2.620], [5.508, -0.560, 3.966]], "species": ["Y", "Sb", "Nd", "Nd"], "frac_coords": [[0.500, 0.500, 0.500], [0.500, 0.500, 0.000], [0.000, 0.000, 0.769], [0.000, 0.000, 0.231]], "e_above_lowest_polymorph_mev_per_atom": 52.4, "e_form_raw_kj_per_mol_atoms": -49.5}

{"formula": "Nd4YSb5", "functional": "PBE", "state": "optimized geometry", "lattice_angstrom": [[-1.411, -3.718, 2.109], [3.119, 0.623, 3.185], [-11.177, 10.234, 5.760]], "species": ["Nd", "Nd", "Nd", "Nd", "Y", "Sb", "Sb", "Sb", "Sb", "Sb"], "frac_coords": [[0.401, 0.401, 0.801], [0.801, 0.801, 0.601], [0.199, 0.199, 0.399], [0.599, 0.599, 0.199], [0.000, 0.000, 0.000], [0.098, 0.098, 0.197], [0.500, 0.500, 0.000], [0.902, 0.902, 0.803], [0.300, 0.300, 0.600], [0.700, 0.700, 0.400]], "e_form_raw_kj_per_mol_atoms": -113.9}